First-principles (PBE) data for a relaxed structure of Li2TePb, as listed in the Alexandria database.

Its density is 5.61 g cm⁻³. For the electronic total energy, the calculation gives -12.2 eV per formula unit. The value obtained for the uncorrected formation energy is -0.371 eV/atom.

It has space group I-42d (No. 122), with a = 7.9555 Å, b = 7.9555 Å, c = 6.5284 Å, α = 90.00°, β = 90.00° and γ = 90.00°. The distinct sites, in fractional coordinates, are Li at (0.2057, 0.2500, 0.1250), Te at (0.0000, 0.0000, 0.0000) and Pb at (0.0000, 0.0000, 0.5000).

=====

First-principles (PBE) data for a relaxed structure of Ba5Pb5Au2, as listed in the Alexandria database.

Its density is 7.65 g cm⁻³. For the electronic total energy, the calculation gives -40.9 eV per formula unit. As for the formation energy: -515.9 meV/atom.

It has space group C2/m (No. 12), with a = 18.3624 Å, b = 4.8071 Å, c = 13.6784 Å, α = 90.00°, β = 130.47° and γ = 90.00°. The distinct sites, in fractional coordinates, are Ba at (0.0000, 0.0000, 0.0000), Ba at (0.1231, 0.5000, 0.8237), Ba at (0.1979, 0.5000, 0.5822), Pb at (0.0000, 0.0000, 0.5000), Pb at (0.0627, 0.0000, 0.3182), Pb at (0.2177, 0.5000, 0.1595) and Au at (0.1164, 0.5000, 0.2549).

=====

First-principles (PBE) data for a relaxed structure of Ac2SnRhO6, as listed in the Alexandria database.

Its density is 8.45 g cm⁻³. For the electronic total energy, the calculation gives -71.5 eV per formula unit. The value obtained for the uncorrected formation energy is -2.217 eV/atom.

It has space group C2/m (No. 12), with a = 11.1092 Å, b = 5.6429 Å, c = 5.1738 Å, α = 90.00°, β = 110.73° and γ = 90.00°. The distinct sites, in fractional coordinates, are Ac at (0.2301, 0.0000, 0.2168), Sn at (0.0000, 0.5000, 0.0000), Rh at (0.0000, 0.0000, 0.5000), O at (0.0793, 0.2442, 0.8016) and O at (0.1867, 0.5000, 0.2774).

=====

First-principles (PBE) data for a relaxed structure of Rb2ZnCl3, as listed in the Alexandria database.

Its density is 2.62 g cm⁻³. For the electronic total energy, the calculation gives -17.7 eV per formula unit. The value obtained for the uncorrected formation energy is -1.484 eV/atom.

It has space group Pc (No. 7), with a = 6.8435 Å, b = 9.9858 Å, c = 12.8313 Å, α = 90.00°, β = 97.13° and γ = 90.00°. The distinct sites, in fractional coordinates, are Rb at (0.0000, 0.0618, 0.0000), Rb at (0.4771, 0.4188, 0.0239), Rb at (0.5367, 0.1646, 0.7058), Rb at (0.9806, 0.4197, 0.2915), Zn at (0.4279, 0.1018, 0.3807), Zn at (0.9294, 0.3195, 0.5875), Cl at (0.1782, 0.0240, 0.2596), Cl at (0.3017, 0.2641, 0.4778), Cl at (0.4818, 0.4693, 0.7674), Cl at (0.5013, 0.0780, 0.9971), Cl at (0.7110, 0.1363, 0.3127) and Cl at (0.9784, 0.3914, 0.0207).

=====

First-principles (PBE) data for a relaxed structure of Y2B6Os, as listed in the Alexandria database.

Its density is 7.41 g cm⁻³. For the electronic total energy, the calculation gives -70.0 eV per formula unit. As for the formation energy: -644.0 meV/atom.

It has space group Pbam (No. 55), with a = 9.1781 Å, b = 11.5541 Å, c = 3.6606 Å, α = 90.00°, β = 90.00° and γ = 90.00°. The distinct sites, in fractional coordinates, are Y at (0.0560, 0.1265, 0.0000), Y at (0.1781, 0.4134, 0.0000), B at (0.0167, 0.2869, 0.5000), B at (0.0534, 0.5672, 0.5000), B at (0.1113, 0.9690, 0.5000), B at (0.1318, 0.8140, 0.5000), B at (0.2097, 0.2325, 0.5000), B at (0.2472, 0.5798, 0.5000) and Os at (0.1374, 0.6785, 0.0000).

=====

First-principles (PBE) data for a relaxed structure of MgRe2Os, as listed in the Alexandria database.

Its density is 16.32 g cm⁻³. For the electronic total energy, the calculation gives -37.0 eV per formula unit. As for the formation energy: 189.0 meV/atom.

It has space group Immm (No. 71), with a = 3.0793 Å, b = 4.3440 Å, c = 8.9307 Å, α = 90.00°, β = 90.00° and γ = 90.00°. The distinct sites, in fractional coordinates, are Mg at (0.0000, 0.0000, 0.0000), Re at (0.0000, 0.5000, 0.2461) and Os at (0.0000, 0.0000, 0.5000).

=====

First-principles (PBE) data for a relaxed structure of ThIr2Pd, as listed in the Alexandria database.

Its density is 14.18 g cm⁻³. For the electronic total energy, the calculation gives -32.2 eV per formula unit. As for the formation energy: -468.8 meV/atom.

It has space group R-3m (No. 166, hexagonal axes), with a = 4.6183 Å, b = 4.6183 Å, c = 13.7493 Å, α = 90.00°, β = 90.00° and γ = 120.00°. The distinct sites, in fractional coordinates, are Th at (0.0000, 0.0000, 0.0000), Ir at (0.0000, 0.0000, 0.1903) and Pd at (0.0000, 0.0000, 0.5000).

=====

First-principles (PBE) data for a relaxed structure of Pu2Hg5Au, as listed in the Alexandria database.

Its density is 14.26 g cm⁻³. For the electronic total energy, the calculation gives -34.7 eV per formula unit. As for the formation energy: -152.8 meV/atom.

It has space group Cmcm (No. 63), with a = 3.1865 Å, b = 24.2824 Å, c = 10.1579 Å, α = 90.00°, β = 90.00° and γ = 90.00°. The distinct sites, in fractional coordinates, are Pu at (0.0000, 0.0000, 0.0000), Pu at (0.0000, 0.1761, 0.2500), Hg at (0.0000, 0.2175, 0.6059), Hg at (0.0000, 0.3800, 0.9996), Hg at (0.0000, 0.4383, 0.2500) and Au at (0.0000, 0.4409, 0.7500).